Entry 1:
DFT (PBE) results for an optimized crystal structure of CaSmGe2Pd5.

Values from the calculation:
As for the formation energy: -0.775 eV per atom. The calculation puts the magnetization at 0.0 μB per formula unit. The value obtained for the total energy is -48.90 eV/cell. The symmetry is No. 123. The value obtained for the calculated density is 8.6 Mg/m³.

POSCAR file:
```
CaSmGe2Pd5
1.0
-1.327 -0.546 -4.026
2.258 -3.620 -0.254
-7.249 -4.735 3.031
Ca Sm Ge Pd
1 1 2 5
direct
0.000 0.000 0.000
0.000 0.000 0.500
0.500 0.500 0.137
0.500 0.500 0.863
0.000 0.500 0.274
0.500 0.000 0.274
0.000 0.500 0.726
0.500 0.000 0.726
0.500 0.500 0.500
```



Entry 2:
DFT (PBE) results for an optimized crystal structure of Ca2SnGe3Pd4.

Values from the calculation:
As for the formation energy: -0.682 eV per atom. The calculation puts the magnetization at 0.0 μB per formula unit. The value obtained for the total energy is -49.45 eV/cell. The symmetry is No. 115. The value obtained for the calculated density is 7.0 Mg/m³.

POSCAR file:
```
Ca2SnGe3Pd4
1.0
-4.113 -1.029 -0.864
-0.097 -2.547 3.496
-3.318 8.280 5.940
Ca Sn Ge Pd
2 1 3 4
direct
0.500 0.000 0.242
0.000 0.500 0.758
0.500 0.500 0.500
0.000 0.000 0.500
0.500 0.000 0.877
0.000 0.500 0.123
0.500 0.500 0.000
0.000 0.000 0.000
0.500 0.000 0.648
0.000 0.500 0.352
```